The following is a DFT calculation (PBE) of a geometry-optimized YPt4 structure.

The structure in CIF format:
```
data_YPt4
_symmetry_space_group_name_H-M 'I m -3 m'
_symmetry_Int_Tables_number 229
_symmetry_space_group_name_Hall '-I 4 2 3'
_cell_length_a 6.063
_cell_length_b 6.063
_cell_length_c 6.063
_cell_angle_alpha 90.00
_cell_angle_beta 90.00
_cell_angle_gamma 90.00
loop_
_atom_site_label
_atom_site_type_symbol
_atom_site_fract_x
_atom_site_fract_y
_atom_site_fract_z
Y1 Y 0.000 0.000 0.000
Pt1 Pt 0.250 0.250 0.250
```

Properties
The formation energy comes out at 0.42 eV/atom. The value obtained for the theoretical density is 12.953 g/cm3. The value obtained for the density of states at the Fermi level is 8.112 states/eV per cell. For the energy, the calculation gives -5.71 eV/atom. Its total magnetic moment is 0.00 μB per cell.

---

The following is a DFT calculation (PBE) of a geometry-optimized Y3Pt2 structure.

The structure in CIF format:
```
data_Y3Pt2
_symmetry_space_group_name_H-M 'P n m a'
_symmetry_Int_Tables_number 62
_symmetry_space_group_name_Hall '-P 2ac 2n'
_cell_length_a 8.010
_cell_length_b 3.987
_cell_length_c 15.783
_cell_angle_alpha 90.00
_cell_angle_beta 90.00
_cell_angle_gamma 90.00
loop_
_atom_site_label
_atom_site_type_symbol
_atom_site_fract_x
_atom_site_fract_y
_atom_site_fract_z
Y1 Y 0.016 0.250 0.101
Y2 Y 0.129 0.750 0.431
Y3 Y 0.179 0.250 0.725
Pt1 Pt 0.097 0.250 0.289
Pt2 Pt 0.246 0.750 0.043
```

Properties
The formation energy comes out at -1.05 eV/atom. The value obtained for the theoretical density is 8.656 g/cm3. The value obtained for the density of states at the Fermi level is 13.772 states/eV per cell. For the energy, the calculation gives -7.35 eV/atom. Its total magnetic moment is 0.00 μB per cell.

---

The following is a DFT calculation (PBE) of a geometry-optimized YbYPt2 structure.

The structure in CIF format:
```
data_YbYPt2
_symmetry_space_group_name_H-M 'F m -3 m'
_symmetry_Int_Tables_number 225
_symmetry_space_group_name_Hall '-F 4 2 3'
_cell_length_a 6.969
_cell_length_b 6.969
_cell_length_c 6.969
_cell_angle_alpha 90.00
_cell_angle_beta 90.00
_cell_angle_gamma 90.00
loop_
_atom_site_label
_atom_site_type_symbol
_atom_site_fract_x
_atom_site_fract_y
_atom_site_fract_z
Yb1 Yb 0.000 0.000 0.000
Y1 Y 0.000 0.000 0.500
Pt1 Pt 0.250 0.250 0.250
```

Properties
The formation energy comes out at -1.14 eV/atom. The value obtained for the theoretical density is 12.795 g/cm3. The value obtained for the density of states at the Fermi level is 63.257 states/eV per cell. For the energy, the calculation gives -6.16 eV/atom. Its total magnetic moment is 0.99 μB per cell.

---

The following is a DFT calculation (PBE) of a geometry-optimized YZn2Pt2 structure.

The structure in CIF format:
```
data_YZn2Pt2
_symmetry_space_group_name_H-M 'P 1 21/m 1'
_symmetry_Int_Tables_number 11
_symmetry_space_group_name_Hall '-P 2yb'
_cell_length_a 4.836
_cell_length_b 4.611
_cell_length_c 8.347
_cell_angle_alpha 90.00
_cell_angle_beta 100.11
_cell_angle_gamma 90.00
loop_
_atom_site_label
_atom_site_type_symbol
_atom_site_fract_x
_atom_site_fract_y
_atom_site_fract_z
Y1 Y 0.202 0.250 0.271
Zn1 Zn 0.331 0.250 0.648
Zn2 Zn 0.355 0.750 0.001
Pt1 Pt 0.117 0.250 0.906
Pt2 Pt 0.210 0.750 0.494
```

Properties
The formation energy comes out at -0.77 eV/atom. The value obtained for the theoretical density is 11.053 g/cm3. The value obtained for the density of states at the Fermi level is 4.207 states/eV per cell. For the energy, the calculation gives -4.99 eV/atom. Its total magnetic moment is 0.00 μB per cell.

---

The following is a DFT calculation (PBE) of a geometry-optimized Y5Zn4Pt structure.

The structure in CIF format:
```
data_Y5Zn4Pt
_symmetry_space_group_name_H-M 'P 4/m m m'
_symmetry_Int_Tables_number 123
_symmetry_space_group_name_Hall '-P 4 2'
_cell_length_a 3.580
_cell_length_b 3.580
_cell_length_c 17.633
_cell_angle_alpha 90.00
_cell_angle_beta 90.00
_cell_angle_gamma 90.00
loop_
_atom_site_label
_atom_site_type_symbol
_atom_site_fract_x
_atom_site_fract_y
_atom_site_fract_z
Y1 Y 0.000 0.000 0.000
Y2 Y 0.000 0.000 0.203
Y3 Y 0.000 0.000 0.405
Zn1 Zn 0.500 0.500 0.102
Zn2 Zn 0.500 0.500 0.301
Pt1 Pt 0.500 0.500 0.500
```

Properties
The formation energy comes out at -0.54 eV/atom. The value obtained for the theoretical density is 6.622 g/cm3. The value obtained for the density of states at the Fermi level is 8.969 states/eV per cell. For the energy, the calculation gives -4.89 eV/atom. Its total magnetic moment is 0.00 μB per cell.

---

The following is a DFT calculation (PBE) of a geometry-optimized Y3Zn2Pt structure.

The structure in CIF format:
```
data_Y3Zn2Pt
_symmetry_space_group_name_H-M 'P 4/m m m'
_symmetry_Int_Tables_number 123
_symmetry_space_group_name_Hall '-P 4 2'
_cell_length_a 3.575
_cell_length_b 3.575
_cell_length_c 10.500
_cell_angle_alpha 90.00
_cell_angle_beta 90.00
_cell_angle_gamma 90.00
loop_
_atom_site_label
_atom_site_type_symbol
_atom_site_fract_x
_atom_site_fract_y
_atom_site_fract_z
Y1 Y 0.000 0.000 0.000
Y2 Y 0.000 0.000 0.340
Zn1 Zn 0.500 0.500 0.165
Pt1 Pt 0.500 0.500 0.500
```

Properties
The formation energy comes out at -0.66 eV/atom. The value obtained for the theoretical density is 7.333 g/cm3. The value obtained for the density of states at the Fermi level is 4.649 states/eV per cell. For the energy, the calculation gives -5.32 eV/atom. Its total magnetic moment is 0.00 μB per cell.

---

The following is a DFT calculation (PBE) of a geometry-optimized Y4ZnPt3 structure.

The structure in CIF format:
```
data_Y4ZnPt3
_symmetry_space_group_name_H-M 'P m m 2'
_symmetry_Int_Tables_number 25
_symmetry_space_group_name_Hall 'P 2 -2'
_cell_length_a 3.788
_cell_length_b 4.486
_cell_length_c 10.702
_cell_angle_alpha 90.00
_cell_angle_beta 90.00
_cell_angle_gamma 90.00
loop_
_atom_site_label
_atom_site_type_symbol
_atom_site_fract_x
_atom_site_fract_y
_atom_site_fract_z
Y1 Y 0.000 0.000 0.000
Y2 Y 0.000 0.500 0.271
Y3 Y 0.500 0.000 0.486
Y4 Y 0.500 0.500 0.774
Zn1 Zn 0.000 0.000 0.709
Pt1 Pt 0.000 0.500 0.558
Pt2 Pt 0.500 0.000 0.220
Pt3 Pt 0.500 0.500 0.045
```

Properties
The formation energy comes out at -1.05 eV/atom. The value obtained for the theoretical density is 9.187 g/cm3. The value obtained for the density of states at the Fermi level is 5.395 states/eV per cell. For the energy, the calculation gives -6.71 eV/atom. Its total magnetic moment is 0.00 μB per cell.

---

The following is a DFT calculation (PBE) of a geometry-optimized Y2ZnPt structure.

The structure in CIF format:
```
data_Y2ZnPt
_symmetry_space_group_name_H-M 'P 4 m m'
_symmetry_Int_Tables_number 99
_symmetry_space_group_name_Hall 'P 4 -2'
_cell_length_a 4.073
_cell_length_b 4.073
_cell_length_c 5.933
_cell_angle_alpha 90.00
_cell_angle_beta 90.00
_cell_angle_gamma 90.00
loop_
_atom_site_label
_atom_site_type_symbol
_atom_site_fract_x
_atom_site_fract_y
_atom_site_fract_z
Y1 Y 0.000 0.000 0.000
Y2 Y 0.500 0.500 0.404
Zn1 Zn 0.000 0.000 0.513
Pt1 Pt 0.500 0.500 0.920
```

Properties
The formation energy comes out at -0.58 eV/atom. The value obtained for the theoretical density is 7.395 g/cm3. The value obtained for the density of states at the Fermi level is 3.055 states/eV per cell. For the energy, the calculation gives -5.64 eV/atom. Its total magnetic moment is 0.00 μB per cell.

---

The following is a DFT calculation (PBE) of a geometry-optimized YZn2Pt structure.

The structure in CIF format:
```
data_YZn2Pt
_symmetry_space_group_name_H-M 'I -4 2 d'
_symmetry_Int_Tables_number 122
_symmetry_space_group_name_Hall 'I -4 2bw'
_cell_length_a 4.135
_cell_length_b 4.135
_cell_length_c 19.270
_cell_angle_alpha 90.00
_cell_angle_beta 90.00
_cell_angle_gamma 90.00
loop_
_atom_site_label
_atom_site_type_symbol
_atom_site_fract_x
_atom_site_fract_y
_atom_site_fract_z
Y1 Y 0.000 0.000 0.000
Zn1 Zn 0.167 0.250 0.625
Pt1 Pt 0.000 0.000 0.500
```

Properties
The formation energy comes out at -0.40 eV/atom. The value obtained for the theoretical density is 8.363 g/cm3. The value obtained for the density of states at the Fermi level is 10.112 states/eV per cell. For the energy, the calculation gives -4.16 eV/atom. Its total magnetic moment is 0.00 μB per cell.

---

The following is a DFT calculation (PBE) of a geometry-optimized Y4Zn3Pt structure.

The structure in CIF format:
```
data_Y4Zn3Pt
_symmetry_space_group_name_H-M 'P 4/m m m'
_symmetry_Int_Tables_number 123
_symmetry_space_group_name_Hall '-P 4 2'
_cell_length_a 3.577
_cell_length_b 3.577
_cell_length_c 14.079
_cell_angle_alpha 90.00
_cell_angle_beta 90.00
_cell_angle_gamma 90.00
loop_
_atom_site_label
_atom_site_type_symbol
_atom_site_fract_x
_atom_site_fract_y
_atom_site_fract_z
Y1 Y 0.000 0.000 0.119
Y2 Y 0.000 0.000 0.373
Zn1 Zn 0.500 0.500 0.250
Zn2 Zn 0.500 0.500 0.500
Pt1 Pt 0.500 0.500 0.000
```

Properties
The formation energy comes out at -0.59 eV/atom. The value obtained for the theoretical density is 6.886 g/cm3. The value obtained for the density of states at the Fermi level is 6.534 states/eV per cell. For the energy, the calculation gives -5.05 eV/atom. Its total magnetic moment is 0.00 μB per cell.